Entry from the Open Quantum Materials Database: an optimized crystal structure of LaPrZr2Sb2 (PBE).

Cell lengths 9.187, 9.187, 9.187 Å; angles 152.34, 152.34, 39.52 degrees
Atoms (fractional coordinates):
La1 0.000 0.000 0.000
Pr1 0.353 0.353 0.000
Zr1 0.177 0.677 0.500
Zr2 0.677 0.177 0.500
Sb1 0.552 0.552 0.000
Sb2 0.802 0.802 0.000

Space group: I4mm
DFT total energy (Ry/atom): -0.4892
Magnetization (μB/f.u.): 0.59